1.
Re2SbIr: relaxed, PBE-GGA.

a b c (Å): 9.040 9.040 9.040
angles (deg): 18.59 18.59 18.59
Atoms (fractional coordinates):
Re1 0.000 0.000 0.000
Re2 0.255 0.255 0.255
Sb1 0.500 0.500 0.500
Ir1 0.748 0.748 0.748

Raw total energy (eV/atom): -9.11
Magnetization (μB per cell): 0.00

=====

2.
V2CoP2: relaxed, PBE-GGA.

a b c (Å): 5.784 5.784 3.556
angles (deg): 90.00 90.00 90.00
Atoms (fractional coordinates):
V1 0.169 0.331 0.000
V2 0.331 0.831 0.000
V3 0.669 0.169 0.000
V4 0.831 0.669 0.000
Co1 0.000 0.000 0.500
Co2 0.500 0.500 0.500
P1 0.137 0.637 0.500
P2 0.363 0.137 0.500
P3 0.637 0.863 0.500
P4 0.863 0.363 0.500

E above lowest polymorph (meV/atom): 0
DFT formation energy (meV/atom): -581
Magnetization (μB per cell): 0.67

=====

3.
LiCd3Ag2: relaxed, PBE-GGA.

a b c (Å): 7.203 7.203 6.006
angles (deg): 90.00 90.00 59.68
Atoms (fractional coordinates):
Li1 0.123 0.877 0.500
Li2 0.877 0.123 0.000
Cd1 0.254 0.254 0.237
Cd2 0.254 0.254 0.737
Cd3 0.496 0.504 0.242
Cd4 0.504 0.496 0.742
Cd5 0.746 0.746 0.237
Cd6 0.746 0.746 0.737
Ag1 0.110 0.664 0.986
Ag2 0.336 0.890 0.986
Ag3 0.664 0.110 0.486
Ag4 0.890 0.336 0.486

E above lowest polymorph (meV/atom): 90
DFT formation energy (meV/atom): -29
Magnetization (μB per cell): 0.00

=====

4.
CrSb: relaxed, PBE-GGA.

a b c (Å): 9.284 9.284 4.271
angles (deg): 90.00 90.00 90.00
Atoms (fractional coordinates):
Cr1 0.017 0.388 0.000
Cr2 0.103 0.571 0.500
Cr3 0.388 0.983 0.000
Cr4 0.429 0.103 0.500
Cr5 0.571 0.897 0.500
Cr6 0.612 0.017 0.000
Cr7 0.897 0.429 0.500
Cr8 0.983 0.612 0.000
Sb1 0.145 0.268 0.500
Sb2 0.268 0.855 0.500
Sb3 0.270 0.555 0.000
Sb4 0.445 0.270 0.000
Sb5 0.555 0.730 0.000
Sb6 0.730 0.445 0.000
Sb7 0.732 0.145 0.500
Sb8 0.855 0.732 0.500

Raw total energy (eV/atom): -6.53
Magnetization (μB per cell): 0.00

=====

5.
Zr6Zn3Rh: relaxed, PBE-GGA.

a b c (Å): 8.300 10.446 4.707
angles (deg): 90.00 90.00 90.00
Atoms (fractional coordinates):
Zr1 0.002 0.242 0.000
Zr2 0.161 0.595 0.500
Zr3 0.171 0.916 0.500
Zr4 0.329 0.416 0.000
Zr5 0.339 0.095 0.000
Zr6 0.498 0.742 0.500
Zr7 0.502 0.258 0.500
Zr8 0.661 0.905 0.000
Zr9 0.671 0.584 0.000
Zr10 0.829 0.084 0.500
Zr11 0.839 0.405 0.500
Zr12 0.998 0.758 0.000
Zn1 0.000 0.500 0.000
Zn2 0.169 0.270 0.500
Zn3 0.331 0.770 0.000
Zn4 0.500 0.000 0.500
Zn5 0.669 0.230 0.000
Zn6 0.831 0.730 0.500
Rh1 0.000 0.000 0.000
Rh2 0.500 0.500 0.500

E above lowest polymorph (meV/atom): 96
DFT formation energy (meV/atom): -174
Magnetization (μB per cell): 0.00

=====

6.
Cd2Ni2Ag: relaxed, PBE-GGA.

a b c (Å): 6.223 6.223 6.223
angles (deg): 141.94 141.94 54.92
Atoms (fractional coordinates):
Cd1 0.250 0.750 0.500
Cd2 0.750 0.250 0.500
Ni1 0.101 0.101 0.000
Ni2 0.899 0.899 0.000
Ag1 0.500 0.500 0.000

E above lowest polymorph (meV/atom): 296
DFT formation energy (meV/atom): 409
Magnetization (μB per cell): 0.00

=====

7.
Y2C: relaxed, PBE-GGA.

a b c (Å): 7.050 6.635 3.518
angles (deg): 81.75 68.66 29.59
Atoms (fractional coordinates):
Y1 0.123 0.123 0.877
Y2 0.877 0.877 0.123
C1 0.500 0.500 0.500

DFT formation energy (meV/atom): 155
Magnetization (μB per cell): 0.00

=====

8.
CsTeSeI2: relaxed, PBE-GGA.

a b c (Å): 6.041 6.041 5.653
angles (deg): 90.00 90.00 90.00
Atoms (fractional coordinates):
Cs1 0.000 0.000 0.000
Te1 0.500 0.500 0.000
Se1 0.500 0.500 0.500
I1 0.000 0.500 0.500
I2 0.500 0.000 0.500

E above lowest polymorph (meV/atom): 131
Magnetization (μB per cell): 0.00

=====

9.
SrTm2: relaxed, PBE-GGA.

a b c (Å): 8.343 8.343 8.343
angles (deg): 154.43 154.43 36.47
Atoms (fractional coordinates):
Sr1 0.000 0.000 0.000
Tm1 0.318 0.318 0.000
Tm2 0.682 0.682 0.000

E above lowest polymorph (meV/atom): 0
DFT formation energy (meV/atom): 163
Magnetization (μB per cell): 0.00

=====

10.
CeSeS2: relaxed, PBE-GGA.

a b c (Å): 8.780 8.780 8.780
angles (deg): 24.08 24.08 24.08
Atoms (fractional coordinates):
Ce1 0.000 0.000 0.000
Se1 0.500 0.500 0.500
S1 0.106 0.106 0.106
S2 0.894 0.894 0.894

Raw total energy (eV/atom): -4.26
Magnetization (μB per cell): 1.38

=====

11.
RbZr2SeF: relaxed, PBE-GGA.

a b c (Å): 4.591 4.591 5.561
angles (deg): 90.00 90.00 90.00
Atoms (fractional coordinates):
Rb1 0.000 0.000 0.000
Zr1 0.000 0.500 0.500
Zr2 0.500 0.000 0.500
Se1 0.500 0.500 0.000
F1 0.000 0.000 0.500

Raw total energy (eV/atom): -5.05
Magnetization (μB per cell): 2.88

=====

12.
Sm6HgTe3P2: relaxed, PBE-GGA.

a b c (Å): 9.689 9.689 8.838
angles (deg): 103.50 103.50 25.27
Atoms (fractional coordinates):
Sm1 0.012 0.012 0.255
Sm2 0.325 0.325 0.436
Sm3 0.332 0.332 0.886
Sm4 0.668 0.668 0.114
Sm5 0.675 0.675 0.564
Sm6 0.988 0.988 0.745
Hg1 0.500 0.500 0.000
Te1 0.164 0.164 0.833
Te2 0.500 0.500 0.500
Te3 0.836 0.836 0.167
P1 0.169 0.169 0.338
P2 0.831 0.831 0.662

Raw total energy (eV/atom): -5.40
Magnetization (μB per cell): 0.00

=====

13.
LaIn2W: relaxed, PBE-GGA.

a b c (Å): 7.553 7.553 7.553
angles (deg): 156.50 142.49 44.74
Atoms (fractional coordinates):
La1 0.000 0.000 0.000
In1 0.367 0.367 0.000
In2 0.690 0.190 0.500
W1 0.195 0.695 0.500

E above lowest polymorph (meV/atom): 39
DFT formation energy (meV/atom): 299
Magnetization (μB per cell): 0.00

=====

14.
MgSiRu2: relaxed, PBE-GGA.

a b c (Å): 2.911 3.654 5.623
angles (deg): 90.00 102.13 90.00
Atoms (fractional coordinates):
Mg1 0.000 0.000 0.000
Si1 0.000 0.000 0.500
Ru1 0.366 0.500 0.720
Ru2 0.634 0.500 0.280

Raw total energy (eV/atom): -6.66
Magnetization (μB per cell): 0.00

=====

15.
CrPb2Se: relaxed, PBE-GGA.

a b c (Å): 8.536 8.536 8.536
angles (deg): 156.17 154.76 34.99
Atoms (fractional coordinates):
Cr1 0.000 0.000 0.000
Pb1 0.176 0.676 0.500
Pb2 0.824 0.324 0.500
Se1 0.500 0.500 0.000

Raw total energy (eV/atom): -5.10
Magnetization (μB per cell): 3.99

=====

16.
MgCu2Ir: relaxed, PBE-GGA.

a b c (Å): 4.277 4.277 4.277
angles (deg): 60.00 60.00 60.00
Atoms (fractional coordinates):
Mg1 0.000 0.000 0.000
Cu1 0.500 0.500 0.500
Cu2 0.750 0.750 0.750
Ir1 0.250 0.250 0.250

DFT formation energy (meV/atom): -37
Magnetization (μB per cell): 0.00

=====

17.
Hg3OsW: relaxed, PBE-GGA.

a b c (Å): 5.190 5.190 5.190
angles (deg): 90.00 90.00 90.00
Atoms (fractional coordinates):
Hg1 0.000 0.000 0.500
Hg2 0.000 0.500 0.000
Hg3 0.500 0.000 0.000
Os1 0.000 0.000 0.000
W1 0.500 0.500 0.500

E above lowest polymorph (meV/atom): 0
DFT formation energy (meV/atom): 1960
Magnetization (μB per cell): 5.70

=====

18.
Pu4As3N: relaxed, PBE-GGA.

a b c (Å): 6.912 6.912 3.969
angles (deg): 90.00 90.00 109.17
Atoms (fractional coordinates):
Pu1 0.221 0.221 0.500
Pu2 0.224 0.776 0.000
Pu3 0.776 0.224 0.000
Pu4 0.779 0.779 0.500
As1 0.000 0.500 0.500
As2 0.500 0.000 0.500
As3 0.500 0.500 0.000
N1 0.000 0.000 0.000

Raw total energy (eV/atom): -10.88
Magnetization (μB per cell): 19.96

=====

19.
CeGdIr: relaxed, PBE-GGA.

a b c (Å): 4.865 4.865 4.865
angles (deg): 60.00 60.00 60.00
Atoms (fractional coordinates):
Ce1 0.000 0.000 0.000
Gd1 0.500 0.500 0.500
Ir1 0.250 0.250 0.250

E above lowest polymorph (meV/atom): 0
DFT formation energy (meV/atom): -517
Magnetization (μB per cell): 8.25

=====

20.
Ca2Ga2Ag3: relaxed, PBE-GGA.

a b c (Å): 5.784 5.784 7.254
angles (deg): 111.80 111.80 43.58
Atoms (fractional coordinates):
Ca1 0.136 0.136 0.269
Ca2 0.864 0.864 0.731
Ga1 0.151 0.151 0.718
Ga2 0.849 0.849 0.282
Ag1 0.378 0.378 0.066
Ag2 0.500 0.500 0.500
Ag3 0.622 0.622 0.934

E above lowest polymorph (meV/atom): 0
DFT formation energy (meV/atom): -326
Magnetization (μB per cell): 0.00